No. 1
Material: TmPu3Pt4
Method: DFT, PBE
State: optimized geometry

Cell lengths 3.4385, 3.4385, 14.4552 Å; angles 90.00, 90.00, 90.00 degrees
Site moments in Bohr magnetons follow the coordinates.
Positions (direct):
Pt 0.0000 0.0000 0.8858  0.01
Pt 0.0000 0.0000 0.3730  0.00
Pt 0.0000 0.0000 0.6270  0.00
Pt 0.0000 0.0000 0.1142  0.01
Pu 0.5000 0.5000 0.5000  5.11
Pu 0.5000 0.5000 0.7525  -5.18
Pu 0.5000 0.5000 0.2475  -5.18
Tm 0.5000 0.5000 0.0000  -0.10

Properties
**Formation energy**: -0.8437 eV per atom
**VASP energy**: -9.7975 eV/atom

=====

No. 2
Material: Dy3S2Cl5
Method: DFT, PBE
State: optimized geometry

Cell lengths 6.3833, 6.8048, 21.9687 Å; angles 90.00, 90.00, 90.00 degrees
Positions (direct):
Cl 0.1782 0.6662 0.0207
Cl 0.3330 0.4622 0.8838
Cl 0.6585 0.8097 0.2500
Cl 0.3218 0.1662 0.4793
Cl 0.6782 0.8338 0.9793
Cl 0.8415 0.3097 0.2500
Cl 0.1670 0.9622 0.6162
Cl 0.6670 0.5378 0.1162
Cl 0.1670 0.9622 0.8838
Cl 0.6670 0.5378 0.3838
Cl 0.8330 0.0378 0.3838
Cl 0.6782 0.8338 0.5207
Cl 0.8218 0.3338 0.5207
Cl 0.8218 0.3338 0.9793
Cl 0.3415 0.1903 0.7500
Cl 0.3218 0.1662 0.0207
Cl 0.8330 0.0378 0.1162
Cl 0.3330 0.4622 0.6162
Cl 0.1585 0.6903 0.7500
Cl 0.1782 0.6662 0.4793
Dy 0.9477 0.0425 0.7500
Dy 0.4501 0.8778 0.0977
Dy 0.0499 0.3778 0.0977
Dy 0.4477 0.4575 0.2500
Dy 0.9501 0.6222 0.9023
Dy 0.5499 0.1222 0.5977
Dy 0.9501 0.6222 0.5977
Dy 0.5523 0.5425 0.7500
Dy 0.0523 0.9575 0.2500
Dy 0.0499 0.3778 0.4023
Dy 0.5499 0.1222 0.9023
Dy 0.4501 0.8778 0.4023
S 0.8066 0.3322 0.8278
S 0.6934 0.8322 0.6722
S 0.3066 0.1678 0.3278
S 0.3066 0.1678 0.1722
S 0.6934 0.8322 0.8278
S 0.8066 0.3322 0.6722
S 0.1934 0.6678 0.3278
S 0.1934 0.6678 0.1722

Properties
**Formation energy (no corrections)**: -2.19 eV per atom
**VASP energy**: -5.3153 eV/atom

=====

No. 3
Material: NbInIr
Method: DFT, PBE
State: optimized geometry

Cell lengths 2.9800, 2.9800, 6.3576 Å; angles 103.55, 103.55, 90.00 degrees
Positions (direct):
Nb 0.0138 0.0138 0.0275
In 0.3259 0.3259 0.6519
Ir 0.6603 0.6603 0.3206

Properties
**Formation energy**: -0.2215 eV per atom
**VASP energy**: -7.4445 eV/atom

=====

No. 4
Material: PrSm3Sn2
Method: DFT, PBE
State: optimized geometry

Cell lengths 4.6737, 10.4890, 9.7639 Å; angles 124.25, 90.00, 102.87 degrees
Positions (direct):
Sm 0.0539 0.1079 0.4181
Sm 0.9461 0.8921 0.5819
Sm 0.6919 0.3839 0.4954
Sm 0.3528 0.7056 0.1851
Sm 0.3081 0.6161 0.5046
Sm 0.6472 0.2944 0.8149
Sn 0.4921 0.9841 0.8392
Sn 0.5079 0.0159 0.1608
Sn 0.2421 0.4841 0.7704
Sn 0.7579 0.5159 0.2296
Pr 0.8845 0.7691 0.8993
Pr 0.1155 0.2309 0.1007

Properties
**Formation energy**: -0.5229 eV per atom
**VASP energy**: -5.0133 eV/atom